Ho3CuSi6Ni2 after structural relaxation, computed with PBE.

Results
ΔE_f (raw): -0.31 eV/atom
space-group type: P-3m1, No. 164

abc: 5.2298 5.2298 9.0175
angles: 90.00 90.00 120.00
Sites, in units of the cell vectors:
Ho (0.0000, 0.0000, 0.0000)
Ho (0.3333, 0.6667, 0.5762)
Ho (0.6667, 0.3333, 0.4238)
Cu (0.0000, 0.0000, 0.5000)
Si (0.1673, 0.3347, 0.2778)
Si (0.1673, 0.8327, 0.2778)
Si (0.3347, 0.1673, 0.7222)
Si (0.6653, 0.8327, 0.2778)
Si (0.8327, 0.1673, 0.7222)
Si (0.8327, 0.6653, 0.7222)
Ni (0.3333, 0.6667, 0.0835)
Ni (0.6667, 0.3333, 0.9165)